Entry 1:
Zn3H12Pd5: optimized geometry, GGA-PBE.

Summary:
Total magnetization ... 0.00 μB per formula unit
D(E_F) ... 25.6 states/eV/cell
Calculated total energy ... -270.7 eV/cell

POSCAR file:
```
Zn3H12Pd5
1.0
-5.6188 5.6188 5.6188
5.6188 -5.6188 5.6188
5.6188 5.6188 -5.6188
Zn H Pd
12 48 20
direct
0.1250 0.2500 0.3750
0.1250 0.3750 0.7500
0.2500 0.3750 0.1250
0.2500 0.8750 0.6250
0.3750 0.1250 0.2500
0.3750 0.7500 0.1250
0.6250 0.2500 0.8750
0.6250 0.8750 0.7500
0.7500 0.1250 0.3750
0.7500 0.6250 0.8750
0.8750 0.6250 0.2500
0.8750 0.7500 0.6250
0.0342 0.1936 0.1468
0.0342 0.3406 0.8874
0.0467 0.6936 0.6594
0.0467 0.8532 0.3874
0.1126 0.6468 0.4533
0.1126 0.9658 0.6594
0.1468 0.0342 0.1936
0.1468 0.6126 0.9533
0.1594 0.1936 0.5467
0.1594 0.4658 0.6126
0.1936 0.1468 0.0342
0.1936 0.5467 0.1594
0.3064 0.3406 0.9533
0.3064 0.4658 0.3532
0.3406 0.8874 0.0342
0.3406 0.9533 0.3064
0.3532 0.3064 0.4658
0.3532 0.5467 0.8874
0.3874 0.0467 0.8532
0.3874 0.8406 0.5342
0.4533 0.1126 0.6468
0.4533 0.8406 0.8064
0.4658 0.3532 0.3064
0.4658 0.6126 0.1594
0.5342 0.3874 0.8406
0.5342 0.6468 0.6936
0.5467 0.1594 0.1936
0.5467 0.8874 0.3532
0.6126 0.1594 0.4658
0.6126 0.9533 0.1468
0.6468 0.4533 0.1126
0.6468 0.6936 0.5342
0.6594 0.0467 0.6936
0.6594 0.1126 0.9658
0.6936 0.5342 0.6468
0.6936 0.6594 0.0467
0.8064 0.4533 0.8406
0.8064 0.8532 0.9658
0.8406 0.5342 0.3874
0.8406 0.8064 0.4533
0.8532 0.3874 0.0467
0.8532 0.9658 0.8064
0.8874 0.0342 0.3406
0.8874 0.3532 0.5467
0.9533 0.1468 0.6126
0.9533 0.3064 0.3406
0.9658 0.6594 0.1126
0.9658 0.8064 0.8532
0.0000 0.0000 0.0000
0.0000 0.0000 0.5000
0.0000 0.5000 0.0000
0.0000 0.5000 0.5000
0.1250 0.7500 0.8750
0.1250 0.8750 0.2500
0.2500 0.1250 0.8750
0.2500 0.6250 0.3750
0.3750 0.2500 0.6250
0.3750 0.6250 0.7500
0.5000 0.0000 0.0000
0.5000 0.0000 0.5000
0.5000 0.5000 0.0000
0.5000 0.5000 0.5000
0.6250 0.3750 0.2500
0.6250 0.7500 0.3750
0.7500 0.3750 0.6250
0.7500 0.8750 0.1250
0.8750 0.1250 0.7500
0.8750 0.2500 0.1250
```


Entry 2:
ZnH3Pd3: optimized geometry, GGA-PBE.

Summary:
Total magnetization ... 0.00 μB per formula unit
ΔE to the lowest computed polymorph ... 68 meV per atom
D(E_F) ... 2.8 states/eV/cell

POSCAR file:
```
ZnH3Pd3
1.0
5.2673 0.0000 0.0000
0.0000 5.2673 0.0000
0.0000 0.0000 5.2673
Zn H Pd
2 6 6
direct
0.0000 0.0000 0.0000
0.5000 0.5000 0.5000
0.0000 0.2500 0.5000
0.0000 0.7500 0.5000
0.2500 0.5000 0.0000
0.5000 0.0000 0.2500
0.5000 0.0000 0.7500
0.7500 0.5000 0.0000
0.0000 0.5000 0.2500
0.0000 0.5000 0.7500
0.2500 0.0000 0.5000
0.5000 0.2500 0.0000
0.5000 0.7500 0.0000
0.7500 0.0000 0.5000
```


Entry 3:
ZnHPd3: optimized geometry, GGA-PBE.

Summary:
Total magnetization ... 0.00 μB per formula unit
ΔE to the lowest computed polymorph ... 19 meV per atom
D(E_F) ... 2.3 states/eV/cell

POSCAR file:
```
ZnHPd3
1.0
2.9537 -2.9523 0.0000
2.9537 2.9523 0.0000
-2.8535 0.0000 7.2037
Zn H Pd
2 2 6
direct
0.2465 0.7535 0.0000
0.7535 0.2465 0.0000
0.4122 0.4122 0.4730
0.8350 0.8350 0.6298
0.1494 0.1494 0.7804
0.3559 0.3559 0.2165
0.4836 0.9917 0.4905
0.6347 0.6347 0.7747
0.8544 0.8544 0.2180
0.9917 0.4836 0.4905
```


Entry 4:
ZnHPd4: optimized geometry, GGA-PBE.

Summary:
Total magnetization ... 0.00 μB per formula unit
ΔE to the lowest computed polymorph ... 313 meV per atom
D(E_F) ... 5.7 states/eV/cell

POSCAR file:
```
ZnHPd4
1.0
-3.6411 3.6411 3.4420
3.6411 -3.6411 3.4420
3.6411 3.6411 -3.4420
Zn H Pd
2 2 8
direct
0.0000 0.0000 0.0000
0.7500 0.2500 0.5000
0.1808 0.6808 0.5000
0.4308 0.4308 0.0000
0.2350 0.5308 0.7042
0.2524 0.9361 0.3163
0.2808 0.0766 0.7958
0.2808 0.4850 0.2042
0.6197 0.9361 0.6837
0.6861 0.5024 0.8163
0.6861 0.8697 0.1837
0.8266 0.5308 0.2958
```


Entry 5:
ZnH2Pd8: optimized geometry, GGA-PBE.

Summary:
Total magnetization ... 0.00 μB per formula unit
D(E_F) ... 10.1 states/eV/cell
Calculated total energy ... -49.7 eV/cell

POSCAR file:
```
ZnH2Pd8
1.0
6.2022 -2.6811 0.0000
6.2022 2.6811 0.0000
-1.5798 0.0000 4.5250
Zn H Pd
1 2 8
direct
0.0000 0.0000 0.0000
0.2061 0.2061 0.6998
0.7939 0.7939 0.3002
0.1424 0.6391 0.2771
0.2013 0.2013 0.3219
0.3609 0.8576 0.7229
0.3989 0.3989 0.7877
0.6011 0.6011 0.2123
0.6391 0.1424 0.2771
0.7987 0.7987 0.6781
0.8576 0.3609 0.7229
```


Entry 6:
ZnHPd3: optimized geometry, GGA-PBE.

Summary:
Total magnetization ... 0.00 μB per formula unit
ΔE to the lowest computed polymorph ... 17 meV per atom
D(E_F) ... 1.3 states/eV/cell

POSCAR file:
```
ZnHPd3
1.0
2.9268 0.0000 0.0000
0.0000 2.9671 0.0000
0.0000 0.0000 7.2823
Zn H Pd
1 1 3
direct
0.0000 0.0000 0.0000
0.0000 0.5000 0.6158
0.0000 0.0000 0.4785
0.5000 0.5000 0.2146
0.5000 0.5000 0.7755
```


Entry 7:
Zn2H2Pd: optimized geometry, GGA-PBE.

Summary:
Total magnetization ... 0.00 μB per formula unit
ΔE to the lowest computed polymorph ... 65 meV per atom
D(E_F) ... 0.6 states/eV/cell

POSCAR file:
```
Zn2H2Pd
1.0
-1.4629 1.4629 6.0546
1.4629 -1.4629 6.0546
1.4629 1.4629 -6.0546
Zn H Pd
2 2 1
direct
0.1430 0.1430 0.0000
0.8570 0.8570 0.0000
0.2500 0.7500 0.5000
0.7500 0.2500 0.5000
0.5000 0.5000 0.0000
```


Entry 8:
ZnHPd3: optimized geometry, GGA-PBE.

Summary:
Total magnetization ... 0.00 μB per formula unit
ΔE to the lowest computed polymorph ... 445 meV per atom
D(E_F) ... 5.3 states/eV/cell

POSCAR file:
```
ZnHPd3
1.0
2.7601 -6.3880 0.0000
2.7601 6.3880 0.0000
0.0000 0.0000 4.9272
Zn H Pd
2 2 6
direct
0.1737 0.8263 0.7500
0.8263 0.1737 0.2500
0.4077 0.5923 0.7500
0.5923 0.4077 0.2500
0.0000 0.0000 0.0000
0.0000 0.0000 0.5000
0.0772 0.4063 0.7500
0.4063 0.0772 0.2500
0.5937 0.9228 0.7500
0.9228 0.5937 0.2500
```